Pm6Nd2Y | PBE-GGA | optimized geometry

Cell lengths 10.5395, 10.5395, 6.2627 Å; angles 91.74, 91.74, 117.57 degrees
Element x y z (fractional)
Pm: 0.0028 0.8344 0.9989
Pm: 0.0814 0.5821 0.2547
Pm: 0.1656 0.9972 0.5011
Pm: 0.3338 0.5035 0.9984
Pm: 0.4179 0.9186 0.2453
Pm: 0.4965 0.6662 0.5016
Pm: 0.5035 0.3338 0.4984
Pm: 0.5821 0.0814 0.7547
Pm: 0.6662 0.4965 0.0016
Pm: 0.8344 0.0028 0.4989
Pm: 0.9186 0.4179 0.7453
Pm: 0.9972 0.1656 0.0011
Nd: 0.1693 0.3310 0.4992
Nd: 0.3310 0.1693 0.9992
Nd: 0.6690 0.8307 0.0008
Nd: 0.8307 0.6690 0.5008
Y: 0.2494 0.7506 0.7500
Y: 0.7506 0.2494 0.2500

Output
As for the energy above the lowest structure with this stoichiometry: 46 meV/atom.

CaPrHo4 | PBE-GGA | optimized geometry

Cell lengths 6.6723, 6.6723, 6.6723 Å; angles 60.00, 60.00, 60.00 degrees
Element x y z (fractional)
Ca: 0.0000 0.0000 0.0000
Pr: 0.2500 0.2500 0.2500
Ho: 0.1283 0.6239 0.6239
Ho: 0.6239 0.1283 0.6239
Ho: 0.6239 0.6239 0.1283
Ho: 0.6239 0.6239 0.6239

PmHfInAg | PBE-GGA | optimized geometry

Cell lengths 5.1400, 5.1400, 5.1400 Å; angles 60.00, 60.00, 60.00 degrees
Element x y z (fractional)
Pm: 0.0000 0.0000 0.0000
Hf: 0.5000 0.5000 0.5000
In: 0.2500 0.2500 0.2500
Ag: 0.7500 0.7500 0.7500

Tl6SCl4 | PBE-GGA | optimized geometry

Cell lengths 8.6662, 8.6662, 9.3535 Å; angles 90.00, 90.00, 90.00 degrees
Element x y z (fractional)
Tl: 0.0000 0.0000 0.1951
Tl: 0.0000 0.0000 0.8049
Tl: 0.1070 0.3207 0.5000
Tl: 0.1793 0.3930 0.0000
Tl: 0.3207 0.8930 0.5000
Tl: 0.3930 0.8207 0.0000
Tl: 0.5000 0.5000 0.3049
Tl: 0.5000 0.5000 0.6951
Tl: 0.6070 0.1793 0.0000
Tl: 0.6793 0.1070 0.5000
Tl: 0.8207 0.6070 0.0000
Tl: 0.8930 0.6793 0.5000
S: 0.0000 0.0000 0.5000
S: 0.5000 0.5000 0.0000
Cl: 0.1759 0.6759 0.2500
Cl: 0.1759 0.6759 0.7500
Cl: 0.3241 0.1759 0.2500
Cl: 0.3241 0.1759 0.7500
Cl: 0.6759 0.8241 0.2500
Cl: 0.6759 0.8241 0.7500
Cl: 0.8241 0.3241 0.2500
Cl: 0.8241 0.3241 0.7500

Output
Its formation energy without anion corrections is -0.82 eV per atom.

ScHgCl2 | PBE-GGA | optimized geometry

Cell lengths 3.8618, 4.4013, 5.2389 Å; angles 90.00, 90.00, 90.00 degrees
Element x y z (fractional)
Sc: 0.0000 0.0000 0.0000
Hg: 0.5000 0.0000 0.5000
Cl: 0.0000 0.5000 0.5000
Cl: 0.5000 0.5000 0.0000

Output
Its formation energy without anion corrections is -0.68 eV per atom. As for the energy above the lowest structure with this stoichiometry: 708 meV/atom.

Al2AuF | PBE-GGA | optimized geometry

Cell lengths 4.4304, 4.4304, 4.4304 Å; angles 60.00, 60.00, 60.00 degrees
Element x y z (fractional)
Al: 0.2500 0.2500 0.2500
Al: 0.7500 0.7500 0.7500
Au: 0.0000 0.0000 0.0000
F: 0.5000 0.5000 0.5000

Output
Its formation energy without anion corrections is -0.73 eV per atom. As for the energy above the lowest structure with this stoichiometry: 25 meV/atom.

| no. | E (eV for the cell shown) | total magnetic moment (μB/cell) |
| --- | --- | --- |
| 1 | -87.3 | 0.000 |
| 2 | -23.8 | 0.000 |
| 3 | -20.7 | 0.763 |
| 4 | -69.5 | 0.000 |
| 5 | -13.1 | 0.343 |
| 6 | -15.5 | 0.000 |